CsNdO3, optimized geometry, DFT PBE-GGA; magnetization = 2.00 μB/f.u.; total DFT energy (no corrections) = -0.4284 Ry/atom; space group = R-3c, No. 167
1.0
-2.106 0.247 -6.221
1.562 -4.815 -4.192
-4.627 -4.183 -2.072
Cs Nd O
2 2 6
Direct
0.250 0.250 0.250 Cs
0.750 0.750 0.750 Cs
0.000 0.000 0.000 Nd
0.500 0.500 0.500 Nd
0.750 0.261 0.239 O
0.739 0.761 0.250 O
0.239 0.750 0.261 O
0.761 0.250 0.739 O
0.261 0.239 0.750 O
0.250 0.739 0.761 O